Entry 1:
A relaxed structure of Zn2MoSe, computed with PBE.

Computed properties:
The calculation puts the electronic total energy at -0.2882 Ry per atom. As for the uncorrected formation energy: 0.29 eV/atom. Its space group is R-3m (166).

Structure (CIF):
```
data_Zn2MoSe
_space_group_name_H-M_alt 'P 1'
_space_group_IT_number 1
_cell_length_a 8.6753
_cell_length_b 8.6753
_cell_length_c 8.6753
_cell_angle_alpha 20.09
_cell_angle_beta 20.09
_cell_angle_gamma 20.09
loop_
_space_group_symop_operation_xyz
'x,y,z'
loop_
_atom_site_label
_atom_site_fract_x
_atom_site_fract_y
_atom_site_fract_z
_atom_site_occupancy
Mo1 0.2500 0.2500 0.2500 1
Se1 0.7500 0.7500 0.7500 1
Zn1 0.9987 0.9987 0.9987 1
Zn2 0.5013 0.5013 0.5013 1
```

***

Entry 2:
A relaxed structure of Zn2MoSe, computed with PBE.

Computed properties:
The calculation puts the electronic total energy at -0.2780 Ry per atom. As for the uncorrected formation energy: 0.43 eV/atom. Its space group is I-42d (122).

Structure (CIF):
```
data_Zn2MoSe
_space_group_name_H-M_alt 'P 1'
_space_group_IT_number 1
_cell_length_a 7.4713
_cell_length_b 7.4713
_cell_length_c 5.8505
_cell_angle_alpha 50.32
_cell_angle_beta 50.32
_cell_angle_gamma 90.00
loop_
_space_group_symop_operation_xyz
'x,y,z'
loop_
_atom_site_label
_atom_site_fract_x
_atom_site_fract_y
_atom_site_fract_z
_atom_site_occupancy
Zn1 0.8750 0.8683 0.7500 1
Zn2 0.6183 0.1250 0.2500 1
Se1 0.5000 0.5000 0.0000 1
Zn3 0.3750 0.3817 0.7500 1
Mo1 0.0000 0.0000 0.0000 1
Zn4 0.1317 0.6250 0.2500 1
Se2 0.2500 0.7500 0.5000 1
Mo2 0.7500 0.2500 0.5000 1
```

***

Entry 3:
A relaxed structure of Zn2MoSe, computed with PBE.

Computed properties:
The calculation puts the electronic total energy at -0.2913 Ry per atom. As for the uncorrected formation energy: 0.25 eV/atom. Its space group is C2/m (12).

Structure (CIF):
```
data_Zn2MoSe
_space_group_name_H-M_alt 'P 1'
_space_group_IT_number 1
_cell_length_a 5.3400
_cell_length_b 5.3400
_cell_length_c 4.0181
_cell_angle_alpha 68.16
_cell_angle_beta 68.16
_cell_angle_gamma 36.85
loop_
_space_group_symop_operation_xyz
'x,y,z'
loop_
_atom_site_label
_atom_site_fract_x
_atom_site_fract_y
_atom_site_fract_z
_atom_site_occupancy
Zn1 0.9986 0.9986 0.0013 1
Zn2 0.5014 0.5014 0.4987 1
Se1 0.2500 0.2500 0.2500 1
Mo1 0.7500 0.7500 0.7500 1
```

***

Entry 4:
A relaxed structure of Zn2MoSe, computed with PBE.

Computed properties:
The calculation puts the electronic total energy at -0.2939 Ry per atom. As for the uncorrected formation energy: 0.22 eV/atom. Its space group is P4/mmm (123).

Structure (CIF):
```
data_Zn2MoSe
_space_group_name_H-M_alt 'P 1'
_space_group_IT_number 1
_cell_length_a 3.5692
_cell_length_b 3.5692
_cell_length_c 5.0640
_cell_angle_alpha 90.00
_cell_angle_beta 90.00
_cell_angle_gamma 90.00
loop_
_space_group_symop_operation_xyz
'x,y,z'
loop_
_atom_site_label
_atom_site_fract_x
_atom_site_fract_y
_atom_site_fract_z
_atom_site_occupancy
Zn1 0.0000 0.0000 0.4873 1
Mo1 0.5000 0.5000 0.2500 1
Se1 0.5000 0.5000 0.7500 1
Zn2 0.0000 0.0000 0.0127 1
```

***

Entry 5:
A relaxed structure of ZnMoSe, computed with PBE.

Computed properties:
The calculation puts the electronic total energy at -0.3879 Ry per atom. As for the uncorrected formation energy: -0.08 eV/atom. The relative energy among the computed polymorphs comes out at 0 meV/atom. Its space group is P3m1 (156).

Structure (CIF):
```
data_ZnMoSe
_space_group_name_H-M_alt 'P 1'
_space_group_IT_number 1
_cell_length_a 3.1314
_cell_length_b 3.1314
_cell_length_c 6.4452
_cell_angle_alpha 90.00
_cell_angle_beta 90.00
_cell_angle_gamma 120.00
loop_
_space_group_symop_operation_xyz
'x,y,z'
loop_
_atom_site_label
_atom_site_fract_x
_atom_site_fract_y
_atom_site_fract_z
_atom_site_occupancy
Zn1 0.6667 0.3333 0.6982 1
Se1 0.3333 0.6667 0.2838 1
Mo1 0.0000 0.0000 0.0179 1
```

***

Entry 6:
A relaxed structure of Zn2MoSe, computed with PBE.

Computed properties:
The calculation puts the electronic total energy at -0.2910 Ry per atom. As for the uncorrected formation energy: 0.26 eV/atom. Its space group is Cmm2 (35).

Structure (CIF):
```
data_Zn2MoSe
_space_group_name_H-M_alt 'P 1'
_space_group_IT_number 1
_cell_length_a 2.9373
_cell_length_b 2.9373
_cell_length_c 8.9212
_cell_angle_alpha 90.00
_cell_angle_beta 90.00
_cell_angle_gamma 113.72
loop_
_space_group_symop_operation_xyz
'x,y,z'
loop_
_atom_site_label
_atom_site_fract_x
_atom_site_fract_y
_atom_site_fract_z
_atom_site_occupancy
Se1 0.5000 0.5000 0.7146 1
Zn1 0.0000 0.0000 0.0280 1
Mo1 0.0000 0.0000 0.4983 1
Zn2 0.5000 0.5000 0.2592 1
```

***

Entry 7:
A relaxed structure of ZnMoSe, computed with PBE.

Computed properties:
The calculation puts the electronic total energy at -0.3812 Ry per atom. As for the uncorrected formation energy: 0.01 eV/atom. The relative energy among the computed polymorphs comes out at 91 meV/atom. Its space group is Amm2 (38).

Structure (CIF):
```
data_ZnMoSe
_space_group_name_H-M_alt 'P 1'
_space_group_IT_number 1
_cell_length_a 3.1430
_cell_length_b 3.1399
_cell_length_c 12.7111
_cell_angle_alpha 90.00
_cell_angle_beta 90.00
_cell_angle_gamma 120.03
loop_
_space_group_symop_operation_xyz
'x,y,z'
loop_
_atom_site_label
_atom_site_fract_x
_atom_site_fract_y
_atom_site_fract_z
_atom_site_occupancy
Se1 0.7857 0.5714 0.6391 1
Mo1 0.4520 0.9041 0.5000 1
Zn1 0.1030 0.2060 0.8427 1
Mo2 0.4372 0.8744 0.0000 1
Se2 0.7857 0.5714 0.3609 1
Zn2 0.1030 0.2060 0.1573 1
```

***

Entry 8:
A relaxed structure of ZnMoSe, computed with PBE.

Computed properties:
The calculation puts the electronic total energy at -0.3485 Ry per atom. As for the uncorrected formation energy: 0.45 eV/atom. The relative energy among the computed polymorphs comes out at 536 meV/atom. Its space group is F-43m (216).

Structure (CIF):
```
data_ZnMoSe
_space_group_name_H-M_alt 'P 1'
_space_group_IT_number 1
_cell_length_a 4.2940
_cell_length_b 4.2940
_cell_length_c 4.2940
_cell_angle_alpha 60.00
_cell_angle_beta 60.00
_cell_angle_gamma 60.00
loop_
_space_group_symop_operation_xyz
'x,y,z'
loop_
_atom_site_label
_atom_site_fract_x
_atom_site_fract_y
_atom_site_fract_z
_atom_site_occupancy
Mo1 0.7500 0.7500 0.7500 1
Zn1 0.5000 0.5000 0.5000 1
Se1 0.0000 0.0000 0.0000 1
```

***

Entry 9:
A relaxed structure of ZnMoSe, computed with PBE.

Computed properties:
The calculation puts the electronic total energy at -0.3804 Ry per atom. As for the uncorrected formation energy: 0.02 eV/atom. The relative energy among the computed polymorphs comes out at 102 meV/atom. Its space group is I4mm (107).

Structure (CIF):
```
data_ZnMoSe
_space_group_name_H-M_alt 'P 1'
_space_group_IT_number 1
_cell_length_a 5.7966
_cell_length_b 5.7966
_cell_length_c 5.7966
_cell_angle_alpha 148.72
_cell_angle_beta 148.72
_cell_angle_gamma 44.82
loop_
_space_group_symop_operation_xyz
'x,y,z'
loop_
_atom_site_label
_atom_site_fract_x
_atom_site_fract_y
_atom_site_fract_z
_atom_site_occupancy
Se1 0.3638 0.3638 0.0000 1
Zn1 0.6481 0.6481 0.0000 1
Mo1 0.9881 0.9881 0.0000 1
```

***

Entry 10:
A relaxed structure of Zn2MoSe, computed with PBE.

Computed properties:
The calculation puts the electronic total energy at -0.3098 Ry per atom. As for the uncorrected formation energy: 0.00 eV/atom. Its space group is R3m (160).

Structure (CIF):
```
data_Zn2MoSe
_space_group_name_H-M_alt 'P 1'
_space_group_IT_number 1
_cell_length_a 8.5744
_cell_length_b 8.5744
_cell_length_c 8.5744
_cell_angle_alpha 20.86
_cell_angle_beta 20.86
_cell_angle_gamma 20.86
loop_
_space_group_symop_operation_xyz
'x,y,z'
loop_
_atom_site_label
_atom_site_fract_x
_atom_site_fract_y
_atom_site_fract_z
_atom_site_occupancy
Mo1 0.4969 0.4969 0.4969 1
Zn1 0.9944 0.9944 0.9944 1
Zn2 0.2477 0.2477 0.2477 1
Se1 0.7609 0.7609 0.7609 1
```

***

Entry 11:
A relaxed structure of Zn2MoSe, computed with PBE.

Computed properties:
The calculation puts the electronic total energy at -0.3037 Ry per atom. As for the uncorrected formation energy: 0.08 eV/atom. Its space group is Cm (8).

Structure (CIF):
```
data_Zn2MoSe
_space_group_name_H-M_alt 'P 1'
_space_group_IT_number 1
_cell_length_a 4.8522
_cell_length_b 4.8522
_cell_length_c 4.9245
_cell_angle_alpha 67.58
_cell_angle_beta 67.58
_cell_angle_gamma 38.22
loop_
_space_group_symop_operation_xyz
'x,y,z'
loop_
_atom_site_label
_atom_site_fract_x
_atom_site_fract_y
_atom_site_fract_z
_atom_site_occupancy
Mo1 0.5085 0.5085 0.3837 1
Zn1 0.0072 0.0072 0.9252 1
Se1 0.2238 0.2238 0.3749 1
Zn2 0.7605 0.7605 0.8161 1
```

***

Entry 12:
A relaxed structure of ZnMoSe, computed with PBE.

Computed properties:
The calculation puts the electronic total energy at -0.3579 Ry per atom. As for the uncorrected formation energy: 0.33 eV/atom. The relative energy among the computed polymorphs comes out at 409 meV/atom. Its space group is P3m1 (156).

Structure (CIF):
```
data_ZnMoSe
_space_group_name_H-M_alt 'P 1'
_space_group_IT_number 1
_cell_length_a 4.6813
_cell_length_b 4.6813
_cell_length_c 2.6134
_cell_angle_alpha 90.00
_cell_angle_beta 90.00
_cell_angle_gamma 120.00
loop_
_space_group_symop_operation_xyz
'x,y,z'
loop_
_atom_site_label
_atom_site_fract_x
_atom_site_fract_y
_atom_site_fract_z
_atom_site_occupancy
Se1 0.6667 0.3333 0.1651 1
Zn1 0.3333 0.6667 0.6685 1
Mo1 0.0000 0.0000 0.1665 1
```